1.
This record from the Alexandria database describes an optimized crystal structure of SrMn5I12. The functional is PBE.

Final energy ... -154.99 eV/cell
Spin magnetization ... 14.9 μB per formula unit
Formation energy (no corrections) ... -0.631 eV/atom

Cell: 7.3721 12.7796 15.4635 Å, 90.00 90.20 90.00°
With the nearest neighbours (Å) after each atom.
Space group C2/m (No. 12)
Asymmetric unit:
Sr: 0.0000 0.0000 0.0000 [2 per cell]  6 I 3.24
Mn: 0.0000 0.1666 0.5000 [4 per cell]  6 I 2.93-2.94
Mn: 0.0000 0.3333 0.0000 [4 per cell]  6 I 2.92
Mn: 0.0000 0.5000 0.5000 [2 per cell]  6 I 2.94
I: 0.1309 0.5000 0.1131 [4 per cell]  2 Mn 2.92, 1 Sr 3.24
I: 0.1651 0.0000 0.3959 [4 per cell]  3 Mn 2.94
I: 0.1663 0.3331 0.3962 [8 per cell]  3 Mn 2.93-2.94
I: 0.1857 0.1849 0.1131 [8 per cell]  2 Mn 2.92, 1 Sr 3.24

2.
This record from the Alexandria database describes an optimized crystal structure of Be2PIr. The functional is PBE.

Final energy ... -83.11 eV/cell
Energy of formation ... 0.2367 eV per atom
Spin magnetization ... 0.0 μB per formula unit

Cell: 6.2078 6.2078 5.0028 Å, 90.00 90.00 90.00°
With the nearest neighbours (Å) after each atom.
Space group I-42d (No. 122)
Asymmetric unit:
Be: 0.2161 0.2500 0.1250 [8 per cell]  2 P 2.14
P: 0.0000 0.0000 0.0000 [4 per cell]  4 Be 2.14
Ir: 0.0000 0.0000 0.5000 [4 per cell]  4 Be 2.43, 2 P 2.50

3.
This record from the Alexandria database describes an optimized crystal structure of CsHS2. The functional is PBE.

Final energy ... -54.30 eV/cell
Spin magnetization ... 0.5 μB per formula unit

Cell: 5.0282 9.4586 9.9824 Å, 90.00 90.00 90.00°
With the nearest neighbours (Å) after each atom.
Space group Cmc2_1 (No. 36)
Asymmetric unit:
Cs: 0.0000 0.2464 0.0000 [4 per cell]  1 H 3.19
H: 0.0000 0.0792 0.7220 [4 per cell]  2 S 1.63
S: 0.2223 0.4950 0.7483 [8 per cell]  1 H 1.63

4.
This record from the Alexandria database describes an optimized crystal structure of TlCd2S2. The functional is PBE.

Final energy ... -26.18 eV/cell
Spin magnetization ... 0.0 μB per formula unit
Formation energy (no corrections) ... -0.128 eV/atom

Cell: 7.8893 7.8893 3.6244 Å, 90.00 90.00 90.00°
With the nearest neighbours (Å) after each atom.
Space group P4/mbm (No. 127)
Asymmetric unit:
Tl: 0.0000 0.0000 0.0000 [2 per cell]  4 Cd 3.09, 8 S 3.43
Cd: 0.1313 0.3687 0.0000 [4 per cell]  6 S 2.83-3.03, 1 Cd 2.93, 2 Tl 3.09
S: 0.1738 0.6738 0.5000 [4 per cell]  6 Cd 2.83-3.03

5.
This record from the Alexandria database describes an optimized crystal structure of TlCoPb2Se. The functional is PBE.

Final energy ... -19.81 eV/cell
Spin magnetization ... 0.0 μB per formula unit
Formation energy (no corrections) ... 0.112 eV/atom

Cell: 5.4948 5.4948 4.3897 Å, 90.00 90.00 90.00°
With the nearest neighbours (Å) after each atom.
Space group P4/mmm (No. 123)
Asymmetric unit:
Tl: 0.0000 0.0000 0.0000 [1 per cell]  8 Pb 3.52, 4 Se 3.89
Co: 0.5000 0.5000 0.5000 [1 per cell]  2 Se 2.19
Pb: 0.0000 0.5000 0.5000 [2 per cell]  2 Co 2.75
Se: 0.5000 0.5000 0.0000 [1 per cell]  2 Co 2.19

6.
This record from the Alexandria database describes an optimized crystal structure of Pa2TaAl. The functional is PBE.

Final energy ... -34.73 eV/cell
Energy of formation ... -0.0366 eV per atom
Spin magnetization ... 0.0 μB per formula unit

Cell: 4.2862 4.2862 4.6429 Å, 90.00 90.00 90.00°
With the nearest neighbours (Å) after each atom.
Space group P4/mmm (No. 123)
Asymmetric unit:
Pa: 0.0000 0.5000 0.0000 [2 per cell]  4 Pa 3.03, 4 Ta 3.16, 4 Al 3.16
Ta: 0.0000 0.0000 0.5000 [1 per cell]  4 Al 3.03, 8 Pa 3.16
Al: 0.5000 0.5000 0.5000 [1 per cell]  4 Ta 3.03, 8 Pa 3.16

7.
This record from the Alexandria database describes an optimized crystal structure of Sm3Tl3VS8. The functional is PBE.

Final energy ... -247.10 eV/cell
Spin magnetization ... 1.0 μB per formula unit
Formation energy (no corrections) ... -1.265 eV/atom

Cell: 7.9376 7.9376 22.5922 Å, 90.00 90.00 120.00°
With the nearest neighbours (Å) after each atom.
Space group R-3m (No. 166, hexagonal axes)
Asymmetric unit:
Sm: 0.0000 0.5000 0.0000 [9 per cell]  6 S 2.77-2.81
Tl: 0.0000 0.5000 0.5000 [9 per cell]  6 S 3.19-3.20
V: 0.0000 0.0000 0.0000 [3 per cell]  6 S 2.47
S: 0.0000 0.0000 0.2646 [6 per cell]  3 Sm 2.77
S: 0.0381 0.5190 0.7293 [18 per cell]  1 V 2.47

8.
This record from the Alexandria database describes an optimized crystal structure of RbCaCl3. The functional is PBE.

Final energy ... -112.30 eV/cell
Spin magnetization ... 0.0 μB per formula unit
Formation energy (no corrections) ... -2.042 eV/atom

Cell: 8.1298 8.1298 20.7706 Å, 90.00 90.00 120.00°
With the nearest neighbours (Å) after each atom.
Space group R-3c (No. 167, hexagonal axes)
Asymmetric unit:
Rb: 0.0000 0.0000 0.0000 [6 per cell]  6 Cl 3.27
Ca: 0.0000 0.0000 0.2500 [6 per cell]  3 Cl 2.57
Cl: 0.0000 0.3167 0.2500 [18 per cell]  1 Ca 2.57